VASP calculation (PBE) on an optimized crystal structure of Ba8Sr2Li.

Structure (CIF):
```
data_Ba8Sr2Li
_chemical_formula_sum 'Ba16 Sr4 Li2'
_cell_length_a 22.628
_cell_length_b 6.862
_cell_length_c 8.320
_cell_angle_alpha 90.00
_cell_angle_beta 92.53
_cell_angle_gamma 90.00
_space_group_name_H-M_alt 'C 1 2/m 1'
_space_group_IT_number 12
loop_
_space_group_symop_operation_xyz
'x,y,z'
'-x,-y,-z'
'-x,y,-z'
'x,-y,z'
'x+1/2,y+1/2,z'
'-x+1/2,-y+1/2,-z'
'-x+1/2,y+1/2,-z'
'x+1/2,-y+1/2,z'
loop_
_atom_site_label
_atom_site_type_symbol
_atom_site_fract_x
_atom_site_fract_y
_atom_site_fract_z
Ba1 Ba 0.037 0.000 0.253
Ba2 Ba 0.087 0.500 0.916
Ba3 Ba 0.167 0.500 0.407
Ba4 Ba 0.225 0.000 0.144
Sr1 Sr 0.150 0.000 0.680
Li1 Li 0.000 0.500 0.500
```



VASP calculation (PBE) on an optimized crystal structure of BaSr5Li4.

Structure (CIF):
```
data_BaSr5Li4
_chemical_formula_sum 'Ba1 Sr5 Li4'
_cell_length_a 4.263
_cell_length_b 4.263
_cell_length_c 23.270
_cell_angle_alpha 90.00
_cell_angle_beta 90.00
_cell_angle_gamma 90.00
_space_group_name_H-M_alt 'P 4/m m m'
_space_group_IT_number 123
_space_group_name_Hall '-P 4 2'
loop_
_atom_site_label
_atom_site_type_symbol
_atom_site_fract_x
_atom_site_fract_y
_atom_site_fract_z
Ba1 Ba 0.000 0.000 0.000
Sr1 Sr 0.500 0.500 0.140
Sr2 Sr 0.500 0.500 0.320
Sr3 Sr 0.500 0.500 0.500
Li1 Li 0.000 0.000 0.230
Li2 Li 0.000 0.000 0.410
```



VASP calculation (PBE) on an optimized crystal structure of BaSr6Li2.

Structure (CIF):
```
data_BaSr6Li2
_chemical_formula_sum 'Ba2 Sr12 Li4'
_cell_length_a 14.887
_cell_length_b 4.389
_cell_length_c 14.242
_cell_angle_alpha 90.00
_cell_angle_beta 108.61
_cell_angle_gamma 90.00
_space_group_name_H-M_alt 'C 1 2/m 1'
_space_group_IT_number 12
loop_
_space_group_symop_operation_xyz
'x,y,z'
'-x,-y,-z'
'-x,y,-z'
'x,-y,z'
'x+1/2,y+1/2,z'
'-x+1/2,-y+1/2,-z'
'-x+1/2,y+1/2,-z'
'x+1/2,-y+1/2,z'
loop_
_atom_site_label
_atom_site_type_symbol
_atom_site_fract_x
_atom_site_fract_y
_atom_site_fract_z
Ba1 Ba 0.000 0.000 0.000
Sr1 Sr 0.025 0.000 0.327
Sr2 Sr 0.176 0.500 0.580
Sr3 Sr 0.190 0.500 0.873
Li1 Li 0.162 0.500 0.221
```

Output
**E above lowest polymorph**: 0 meV per atom



VASP calculation (PBE) on an optimized crystal structure of Ba2SrLi.

Structure (CIF):
```
data_Ba2SrLi
_chemical_formula_sum 'Ba4 Sr2 Li2'
_cell_length_a 9.436
_cell_length_b 9.469
_cell_length_c 4.761
_cell_angle_alpha 90.00
_cell_angle_beta 90.00
_cell_angle_gamma 90.00
_space_group_name_H-M_alt 'C m m m'
_space_group_IT_number 65
_space_group_name_Hall '-C 2 2'
loop_
_atom_site_label
_atom_site_type_symbol
_atom_site_fract_x
_atom_site_fract_y
_atom_site_fract_z
Ba1 Ba 0.250 0.250 0.000
Sr1 Sr 0.000 0.000 0.500
Li1 Li 0.000 0.500 0.500
```

Output
**E above lowest polymorph**: 61 meV per atom



ΔH_f (0 K) in meV/atom, matching the order above: 35; 24; 31; 86
Mass density in g/cm³, matching the order above: 3.3; 2.4; 2.5; 2.9
V in A^3/atom, matching the order above: 58.66; 42.29; 48.99; 53.18